Here is crystalline LiTl7Hg3 at its relaxed geometry from Alexandria. Energies are from PBE-GGA.

Summary:
Formation energy   -6 meV per atom

POSCAR file:
```
LiTl7Hg3
1.0
-3.963 -6.374 2.063
3.204 -3.607 -4.991
2.765 0.338 6.359
Hg Tl Li
3 7 1
direct
0.772 0.490 0.981
0.772 0.490 0.510
0.772 0.019 0.510
0.468 0.836 0.673
0.468 0.327 0.164
0.106 0.667 0.333
0.468 0.836 0.164
0.107 0.166 0.834
0.107 0.669 0.834
0.107 0.166 0.331
0.468 0.333 0.667
```